(1)
VASP calculation (PBE) on crystalline Zr4GaCoC2 at its relaxed geometry.

Calculated values
energy	-67.0	eV per cell
SG	P-6m2 (187)

Cell: 3.302 3.302 13.721 Å, 90.00 90.00 120.00°
Sites, in units of the cell vectors:
Zr  0.000  0.000  0.141
Zr  0.000  0.000  0.859
Zr  0.667  0.333  0.333
Zr  0.667  0.333  0.667
Ga  0.000  0.000  0.500
Co  0.667  0.333  0.000
C  0.333  0.667  0.241
C  0.333  0.667  0.759



(2)
VASP calculation (PBE) on crystalline GdCoC2 at its relaxed geometry.

Calculated values
energy	-63.0	eV per cell
SG	Amm2 (38)

Cell: 3.626 4.513 6.000 Å, 90.00 90.00 90.00°
Sites, in units of the cell vectors:
Gd  0.000  0.000  0.000
Gd  0.000  0.500  0.500
Co  0.500  0.000  0.386
Co  0.500  0.500  0.886
C  0.500  0.153  0.696
C  0.500  0.347  0.196
C  0.500  0.653  0.196
C  0.500  0.847  0.696



(3)
VASP calculation (PBE) on crystalline GdHoCo2C2 at its relaxed geometry.

Calculated values
energy	-43.7	eV per cell
SG	P-4m2 (115)

Cell: 3.620 3.620 6.946 Å, 90.00 90.00 90.00°
Sites, in units of the cell vectors:
Gd  0.000  0.000  0.000
Ho  0.000  0.000  0.500
Co  0.500  0.500  0.259
Co  0.500  0.500  0.741
C  0.000  0.500  0.255
C  0.500  0.000  0.745



(4)
VASP calculation (PBE) on crystalline Gd2HoCo2C2N3 at its relaxed geometry.

Calculated values
energy	-80.7	eV per cell
SG	I4/mmm (139)

Cell: 10.012 10.012 10.012 Å, 160.07 160.07 28.33°
Sites, in units of the cell vectors:
Gd  0.127  0.127  0.000
Gd  0.873  0.873  0.000
Ho  0.500  0.500  0.000
Co  0.250  0.750  0.500
Co  0.750  0.250  0.500
C  0.306  0.306  0.000
C  0.694  0.694  0.000
N  0.000  0.000  0.000
N  0.380  0.380  0.000
N  0.620  0.620  0.000



(5)
VASP calculation (PBE) on crystalline GdHoCo2Si2C at its relaxed geometry.

Calculated values
energy	-96.6	eV per cell
SG	Cm (8)

Cell: 10.580 3.887 6.817 Å, 90.00 129.72 90.00°
Sites, in units of the cell vectors:
Gd  0.000  0.000  0.000
Gd  0.500  0.500  0.000
Ho  0.373  0.500  0.406
Ho  0.873  0.000  0.406
Co  0.134  0.500  0.788
Co  0.237  0.000  0.614
Co  0.634  0.000  0.788
Co  0.737  0.500  0.614
Si  0.093  0.500  0.409
Si  0.279  0.000  0.997
Si  0.593  0.000  0.409
Si  0.779  0.500  0.997
C  0.434  0.000  0.697
C  0.934  0.500  0.697



(6)
VASP calculation (PBE) on crystalline GdLuCo2C2 at its relaxed geometry.

Calculated values
energy	-43.8	eV per cell
SG	P-4m2 (115)

Cell: 3.606 3.606 6.827 Å, 90.00 90.00 90.00°
Sites, in units of the cell vectors:
Gd  0.000  0.000  0.000
Lu  0.000  0.000  0.500
Co  0.500  0.500  0.269
Co  0.500  0.500  0.731
C  0.000  0.500  0.262
C  0.500  0.000  0.738



(7)
VASP calculation (PBE) on crystalline Gd2CoSi2MoC at its relaxed geometry.

Calculated values
energy	-103.0	eV per cell
SG	Cm (8)

Cell: 11.010 3.924 7.017 Å, 90.00 128.30 90.00°
Sites, in units of the cell vectors:
Gd  0.000  0.000  0.000
Gd  0.133  0.000  0.597
Gd  0.500  0.500  0.000
Gd  0.633  0.500  0.597
Co  0.270  0.500  0.389
Co  0.770  0.000  0.389
Si  0.202  0.500  0.987
Si  0.403  0.000  0.595
Si  0.702  0.000  0.987
Si  0.903  0.500  0.595
Mo  0.369  0.000  0.211
Mo  0.869  0.500  0.211
C  0.075  0.500  0.305
C  0.575  0.000  0.305



(8)
VASP calculation (PBE) on crystalline Sm2GdCo2C2N3 at its relaxed geometry.

Calculated values
energy	-80.2	eV per cell
SG	I4/mmm (139)

Cell: 10.105 10.105 10.105 Å, 159.99 159.99 28.44°
Sites, in units of the cell vectors:
Sm  0.128  0.128  0.000
Sm  0.872  0.872  0.000
Gd  0.500  0.500  0.000
Co  0.250  0.750  0.500
Co  0.750  0.250  0.500
C  0.306  0.306  0.000
C  0.694  0.694  0.000
N  0.000  0.000  0.000
N  0.378  0.378  0.000
N  0.622  0.622  0.000



(9)
VASP calculation (PBE) on crystalline Gd2TmCo2C2N3 at its relaxed geometry.

Calculated values
energy	-80.7	eV per cell
SG	I4/mmm (139)

Cell: 9.976 9.976 9.976 Å, 160.06 160.06 28.35°
Sites, in units of the cell vectors:
Gd  0.127  0.127  0.000
Gd  0.873  0.873  0.000
Tm  0.500  0.500  0.000
Co  0.250  0.750  0.500
Co  0.750  0.250  0.500
C  0.307  0.307  0.000
C  0.693  0.693  0.000
N  0.000  0.000  0.000
N  0.381  0.381  0.000
N  0.619  0.619  0.000



(10)
VASP calculation (PBE) on crystalline Gd2CoSi2WC at its relaxed geometry.

Calculated values
energy	-106.7	eV per cell
SG	Cm (8)

Cell: 10.964 3.915 7.015 Å, 90.00 128.03 90.00°
Sites, in units of the cell vectors:
Gd  0.000  0.000  0.000
Gd  0.136  0.000  0.596
Gd  0.500  0.500  0.000
Gd  0.636  0.500  0.596
Co  0.272  0.500  0.385
Co  0.772  0.000  0.385
Si  0.202  0.500  0.981
Si  0.407  0.000  0.598
Si  0.702  0.000  0.981
Si  0.907  0.500  0.598
W  0.369  0.000  0.210
W  0.869  0.500  0.210
C  0.076  0.500  0.304
C  0.576  0.000  0.304



(11)
VASP calculation (PBE) on crystalline GdYCo2C2 at its relaxed geometry.

Calculated values
energy	-45.6	eV per cell
SG	P-4m2 (115)

Cell: 3.626 3.626 7.004 Å, 90.00 90.00 90.00°
Sites, in units of the cell vectors:
Gd  0.000  0.000  0.000
Y  0.000  0.000  0.500
Co  0.500  0.500  0.252
Co  0.500  0.500  0.748
C  0.000  0.500  0.749
C  0.500  0.000  0.251



(12)
VASP calculation (PBE) on crystalline Co2Ge2C at its relaxed geometry.

Calculated values
energy	-60.5	eV per cell
SG	Pmma (51)

Cell: 5.237 2.886 8.293 Å, 90.00 90.00 90.00°
Sites, in units of the cell vectors:
Co  0.000  0.000  0.000
Co  0.250  0.000  0.482
Co  0.500  0.000  0.000
Co  0.750  0.000  0.518
Ge  0.250  0.000  0.766
Ge  0.250  0.500  0.178
Ge  0.750  0.000  0.234
Ge  0.750  0.500  0.822
C  0.000  0.500  0.500
C  0.500  0.500  0.500



(13)
VASP calculation (PBE) on crystalline Hf4CoGeC2 at its relaxed geometry.

Calculated values
energy	-75.1	eV per cell
SG	P-6m2 (187)

Cell: 3.256 3.256 13.370 Å, 90.00 90.00 120.00°
Sites, in units of the cell vectors:
Hf  0.000  0.000  0.142
Hf  0.000  0.000  0.858
Hf  0.333  0.667  0.338
Hf  0.333  0.667  0.662
Co  0.333  0.667  0.000
Ge  0.000  0.000  0.500
C  0.667  0.333  0.245
C  0.667  0.333  0.755



(14)
VASP calculation (PBE) on crystalline HoLuCo2Ge2C at its relaxed geometry.

Calculated values
energy	-92.1	eV per cell
SG	Cm (8)

Cell: 10.644 3.884 6.748 Å, 90.00 128.01 90.00°
Sites, in units of the cell vectors:
Ho  0.000  0.000  0.000
Ho  0.500  0.500  0.000
Lu  0.118  0.000  0.581
Lu  0.618  0.500  0.581
Co  0.253  0.500  0.376
Co  0.367  0.000  0.209
Co  0.753  0.000  0.376
Co  0.867  0.500  0.209
Ge  0.219  0.500  0.987
Ge  0.399  0.000  0.594
Ge  0.719  0.000  0.987
Ge  0.899  0.500  0.594
C  0.061  0.500  0.297
C  0.561  0.000  0.297



(15)
VASP calculation (PBE) on crystalline NdHoCo2Ge2C at its relaxed geometry.

Calculated values
energy	-92.3	eV per cell
SG	Cm (8)

Cell: 10.849 3.980 6.932 Å, 90.00 128.58 90.00°
Sites, in units of the cell vectors:
Nd  0.000  0.000  0.000
Nd  0.500  0.500  0.000
Ho  0.382  0.500  0.413
Ho  0.882  0.000  0.413
Co  0.129  0.500  0.781
Co  0.248  0.000  0.620
Co  0.629  0.000  0.781
Co  0.748  0.500  0.620
Ge  0.106  0.500  0.415
Ge  0.275  0.000  0.997
Ge  0.606  0.000  0.415
Ge  0.775  0.500  0.997
C  0.436  0.000  0.690
C  0.936  0.500  0.690



(16)
VASP calculation (PBE) on crystalline PrHoCo2Ge2C at its relaxed geometry.

Calculated values
energy	-92.2	eV per cell
SG	Cm (8)

Cell: 10.887 3.991 6.958 Å, 90.00 128.67 90.00°
Sites, in units of the cell vectors:
Pr  0.000  0.000  0.000
Pr  0.500  0.500  0.000
Ho  0.118  0.000  0.590
Ho  0.618  0.500  0.590
Co  0.251  0.500  0.381
Co  0.373  0.000  0.222
Co  0.751  0.000  0.381
Co  0.873  0.500  0.222
Ge  0.227  0.500  0.009
Ge  0.392  0.000  0.583
Ge  0.727  0.000  0.009
Ge  0.892  0.500  0.583
C  0.065  0.500  0.313
C  0.565  0.000  0.313



(17)
VASP calculation (PBE) on crystalline Ho2Co2SiGeC at its relaxed geometry.

Calculated values
energy	-94.5	eV per cell
SG	Cm (8)

Cell: 10.617 3.883 6.789 Å, 90.00 129.01 90.00°
Sites, in units of the cell vectors:
Ho  0.000  0.000  0.000
Ho  0.125  0.000  0.589
Ho  0.500  0.500  0.000
Ho  0.625  0.500  0.589
Co  0.255  0.500  0.372
Co  0.362  0.000  0.199
Co  0.755  0.000  0.372
Co  0.862  0.500  0.199
Si  0.223  0.500  0.001
Si  0.723  0.000  0.001
Ge  0.408  0.000  0.598
Ge  0.908  0.500  0.598
C  0.061  0.500  0.292
C  0.561  0.000  0.292



(18)
VASP calculation (PBE) on crystalline HoTmCo2Ge2C at its relaxed geometry.

Calculated values
energy	-92.1	eV per cell
SG	Cm (8)

Cell: 10.658 3.890 6.786 Å, 90.00 128.15 90.00°
Sites, in units of the cell vectors:
Ho  0.000  0.000  0.000
Ho  0.500  0.500  0.000
Tm  0.118  0.000  0.581
Tm  0.618  0.500  0.581
Co  0.253  0.500  0.374
Co  0.367  0.000  0.209
Co  0.753  0.000  0.374
Co  0.867  0.500  0.209
Ge  0.219  0.500  0.989
Ge  0.399  0.000  0.592
Ge  0.719  0.000  0.989
Ge  0.899  0.500  0.592
C  0.060  0.500  0.294
C  0.560  0.000  0.294



(19)
VASP calculation (PBE) on crystalline YHoCo2Ge2C at its relaxed geometry.

Calculated values
energy	-96.2	eV per cell
SG	Cm (8)

Cell: 10.711 3.919 6.837 Å, 90.00 128.31 90.00°
Sites, in units of the cell vectors:
Y  0.000  0.000  0.000
Y  0.500  0.500  0.000
Ho  0.119  0.000  0.584
Ho  0.619  0.500  0.584
Co  0.252  0.500  0.375
Co  0.368  0.000  0.212
Co  0.752  0.000  0.375
Co  0.868  0.500  0.212
Ge  0.221  0.500  0.994
Ge  0.398  0.000  0.590
Ge  0.721  0.000  0.994
Ge  0.898  0.500  0.590
C  0.061  0.500  0.295
C  0.561  0.000  0.295



(20)
VASP calculation (PBE) on crystalline LaPrCo2Ge2C at its relaxed geometry.

Calculated values
energy	-92.6	eV per cell
SG	Cm (8)

Cell: 11.148 4.085 7.152 Å, 90.00 128.82 90.00°
Sites, in units of the cell vectors:
La  0.000  0.000  0.000
La  0.500  0.500  0.000
Pr  0.382  0.500  0.403
Pr  0.882  0.000  0.403
Co  0.126  0.500  0.776
Co  0.256  0.000  0.627
Co  0.626  0.000  0.776
Co  0.756  0.500  0.627
Ge  0.117  0.500  0.432
Ge  0.265  0.000  0.970
Ge  0.617  0.000  0.432
Ge  0.765  0.500  0.970
C  0.440  0.000  0.698
C  0.940  0.500  0.698



(21)
VASP calculation (PBE) on crystalline LaTmCo2Ge2C at its relaxed geometry.

Calculated values
energy	-92.1	eV per cell
SG	Cm (8)

Cell: 10.939 4.008 6.999 Å, 90.00 128.95 90.00°
Sites, in units of the cell vectors:
La  0.000  0.000  0.000
La  0.500  0.500  0.000
Tm  0.115  0.000  0.585
Tm  0.615  0.500  0.585
Co  0.250  0.500  0.379
Co  0.373  0.000  0.222
Co  0.750  0.000  0.379
Co  0.873  0.500  0.222
Ge  0.226  0.500  0.007
Ge  0.391  0.000  0.579
Ge  0.726  0.000  0.007
Ge  0.891  0.500  0.579
C  0.067  0.500  0.319
C  0.567  0.000  0.319



(22)
VASP calculation (PBE) on crystalline LaYCo2Ge2C at its relaxed geometry.

Calculated values
energy	-96.3	eV per cell
SG	Cm (8)

Cell: 10.995 4.028 7.034 Å, 90.00 128.84 90.00°
Sites, in units of the cell vectors:
La  0.000  0.000  0.000
La  0.500  0.500  0.000
Y  0.383  0.500  0.410
Y  0.883  0.000  0.410
Co  0.127  0.500  0.777
Co  0.252  0.000  0.622
Co  0.627  0.000  0.777
Co  0.752  0.500  0.622
Ge  0.112  0.500  0.423
Ge  0.270  0.000  0.985
Ge  0.612  0.000  0.423
Ge  0.770  0.500  0.985
C  0.436  0.000  0.687
C  0.936  0.500  0.687



(23)
VASP calculation (PBE) on crystalline Lu4CoGeC2 at its relaxed geometry.

Calculated values
energy	-50.7	eV per cell
SG	P-6m2 (187)

Cell: 3.468 3.468 14.047 Å, 90.00 90.00 120.00°
Sites, in units of the cell vectors:
Lu  0.000  0.000  0.144
Lu  0.000  0.000  0.856
Lu  0.333  0.667  0.332
Lu  0.333  0.667  0.668
Co  0.333  0.667  0.000
Ge  0.000  0.000  0.500
C  0.667  0.333  0.240
C  0.667  0.333  0.760



(24)
VASP calculation (PBE) on crystalline NdLuCo2Ge2C at its relaxed geometry.

Calculated values
energy	-92.0	eV per cell
SG	Cm (8)

Cell: 10.808 3.954 6.900 Å, 90.00 128.67 90.00°
Sites, in units of the cell vectors:
Nd  0.000  0.000  0.000
Nd  0.500  0.500  0.000
Lu  0.118  0.000  0.585
Lu  0.618  0.500  0.585
Co  0.254  0.500  0.380
Co  0.372  0.000  0.219
Co  0.754  0.000  0.380
Co  0.872  0.500  0.219
Ge  0.223  0.500  0.998
Ge  0.396  0.000  0.587
Ge  0.723  0.000  0.998
Ge  0.896  0.500  0.587
C  0.067  0.500  0.314
C  0.567  0.000  0.314



(25)
VASP calculation (PBE) on crystalline TbLuCo2Ge2C at its relaxed geometry.

Calculated values
energy	-92.2	eV per cell
SG	Cm (8)

Cell: 10.666 3.895 6.788 Å, 90.00 128.17 90.00°
Sites, in units of the cell vectors:
Tb  0.000  0.000  0.000
Tb  0.500  0.500  0.000
Lu  0.118  0.000  0.581
Lu  0.618  0.500  0.581
Co  0.253  0.500  0.376
Co  0.368  0.000  0.211
Co  0.753  0.000  0.376
Co  0.868  0.500  0.211
Ge  0.219  0.500  0.989
Ge  0.399  0.000  0.592
Ge  0.719  0.000  0.989
Ge  0.899  0.500  0.592
C  0.062  0.500  0.300
C  0.562  0.000  0.300